No. 1
# BaPm2Al

Crystalline BaPm2Al at its relaxed geometry (PBE-GGA, Alexandria).

abc: 3.7576 3.7576 35.5809
angles: 90.00 90.00 120.00
Space group R-3m (No. 166, hexagonal axes)
Symmetry-distinct sites (fractional):
Ba1 0.0000 0.0000 0.0000
Pm1 0.0000 0.0000 0.1054
Al1 0.0000 0.0000 0.5000

Computed properties:
Calculated density: 5.20 g/cm3
Electronic total energy: -3.682 eV/atom
DOS at the Fermi energy: 11.6 states/eV per cell
Excess energy over the best structure of this formula in the dataset: 174 meV per atom


No. 2
# Ta3VRh

Crystalline Ta3VRh at its relaxed geometry (PBE-GGA, Alexandria).

abc: 4.574 4.574 4.574
angles: 90.00 90.00 90.00
Space group Pm-3m (No. 221)
Symmetry-distinct sites (fractional):
Ta1 0.000 0.000 0.500
V1 0.000 0.000 0.000
Rh1 0.500 0.500 0.500

Computed properties:
Calculated density: 12.09 g/cm3
Electronic total energy: -9.257 eV/atom
DOS at the Fermi energy: 7.9 states/eV per cell
Excess energy over the best structure of this formula in the dataset: 0 meV per atom


No. 3
# Co2BiPt2

Crystalline Co2BiPt2 at its relaxed geometry (PBE-GGA, Alexandria).

abc: 7.572 7.572 2.880
angles: 90.00 90.00 90.00
Space group P4/mbm (No. 127)
Symmetry-distinct sites (fractional):
Co1 0.164 0.336 0.000
Bi1 0.000 0.000 0.500
Pt1 0.130 0.630 0.500

Computed properties:
Calculated density: 14.42 g/cm3
Electronic total energy: -5.852 eV/atom
DOS at the Fermi energy: 20.6 states/eV per cell
Excess energy over the best structure of this formula in the dataset: 27 meV per atom


No. 4
# BaFeTe2

Crystalline BaFeTe2 at its relaxed geometry (PBE-GGA, Alexandria).

abc: 4.2139 4.2139 21.3570
angles: 90.00 90.00 120.00
Space group R-3m (No. 166, hexagonal axes)
Symmetry-distinct sites (fractional):
Ba1 0.0000 0.0000 0.0000
Fe1 0.0000 0.0000 0.5000
Te1 0.0000 0.0000 0.2212

Computed properties:
Calculated density: 6.80 g/cm3
Electronic total energy: -4.651 eV/atom
Raw formation energy: -484 meV per atom
DOS at the Fermi energy: 0.0 states/eV per cell